Dy2Y3ThTe6: relaxed, PBE-GGA.

abc: 18.9823 4.3338 8.8511
angles: 90.00 101.17 90.00
With the nearest neighbours (Å) after each atom.
Space group C2/m (No. 12)
One atom of each set of equivalent atoms:
Dy 0.1635 0.0000 0.3346 (multiplicity 4)  6 Te 2.99-3.13
Y 0.0000 0.5000 0.5000 (multiplicity 2)  6 Te 3.04-3.15
Y 0.1578 0.0000 0.8402 (multiplicity 4)  6 Te 3.00-3.14
Th 0.0000 0.5000 0.0000 (multiplicity 2)  6 Te 3.16-3.24
Te 0.0027 0.0000 0.2609 (multiplicity 4)  1 Dy 2.99, 3 Y 3.00-3.04, 2 Th 3.16
Te 0.1687 0.5000 0.5892 (multiplicity 4)  3 Dy 3.11-3.13, 3 Y 3.14-3.15
Te 0.1734 0.5000 0.0933 (multiplicity 4)  2 Dy 3.07, 3 Y 3.09-3.14, 1 Th 3.24

## Properties
The value obtained for the uncorrected formation energy is -1.24 eV per atom.